1.
Material: SrTc2Hg
Method: DFT, PBEsol
State: optimized geometry Values from VASP.

Cell and atoms, written as Quantum ESPRESSO input:
```
&SYSTEM
  ibrav = 0, nat = 4, ntyp = 3
/
ATOMIC_SPECIES
Sr 87.62 Sr.upf
Tc 98.00 Tc.upf
Hg 200.59 Hg.upf
CELL_PARAMETERS angstrom
-1.488 2.476 5.216
1.488 -2.476 5.216
1.488 2.476 -5.216
ATOMIC_POSITIONS crystal
Sr 0.000 0.000 0.000
Tc 0.271 0.771 0.500
Tc 0.729 0.229 0.500
Hg 0.500 0.500 0.000
```

2.
Material: Sr3TcHg
Method: DFT, PBEsol
State: optimized geometry Values from VASP.

Cell and atoms, written as Quantum ESPRESSO input:
```
&SYSTEM
  ibrav = 0, nat = 5, ntyp = 3
/
ATOMIC_SPECIES
Sr 87.62 Sr.upf
Tc 98.00 Tc.upf
Hg 200.59 Hg.upf
CELL_PARAMETERS angstrom
5.974 0.000 0.000
0.000 5.974 0.000
0.000 0.000 5.974
ATOMIC_POSITIONS crystal
Sr 0.000 0.000 0.500
Sr 0.000 0.500 0.000
Sr 0.500 0.000 0.000
Tc 0.500 0.500 0.500
Hg 0.000 0.000 0.000
```

3.
! Sr2HgTe PBEsol optimized geometry; values from VASP
! Formation energy (no corrections): -0.97 eV per atom
&SYSTEM
  ibrav = 0, nat = 4, ntyp = 3
/
ATOMIC_SPECIES
Sr 87.62 Sr.upf
Hg 200.59 Hg.upf
Te 127.60 Te.upf
CELL_PARAMETERS angstrom
2.272 1.312 7.977
-2.272 1.312 7.977
0.000 -2.624 7.977
ATOMIC_POSITIONS crystal
Sr 0.248 0.248 0.248
Sr 0.752 0.752 0.752
Hg 0.000 0.000 0.000
Te 0.500 0.500 0.500

4.
! SrHg4Te PBEsol optimized geometry; values from VASP
! Formation energy (no corrections): -0.36 eV per atom
&SYSTEM
  ibrav = 0, nat = 6, ntyp = 3
/
ATOMIC_SPECIES
Sr 87.62 Sr.upf
Hg 200.59 Hg.upf
Te 127.60 Te.upf
CELL_PARAMETERS angstrom
0.000 4.327 4.327
4.327 0.000 4.327
4.327 4.327 0.000
ATOMIC_POSITIONS crystal
Sr 0.000 0.000 0.000
Hg 0.127 0.624 0.624
Hg 0.624 0.127 0.624
Hg 0.624 0.624 0.127
Hg 0.624 0.624 0.624
Te 0.250 0.250 0.250

5.
! SrHgTe2 PBEsol optimized geometry; values from VASP
! Formation energy (no corrections): -0.69 eV per atom
&SYSTEM
  ibrav = 0, nat = 4, ntyp = 3
/
ATOMIC_SPECIES
Sr 87.62 Sr.upf
Hg 200.59 Hg.upf
Te 127.60 Te.upf
CELL_PARAMETERS angstrom
-2.235 2.235 5.865
2.235 -2.235 5.865
2.235 2.235 -5.865
ATOMIC_POSITIONS crystal
Sr 0.000 0.000 0.000
Hg 0.250 0.750 0.500
Te 0.500 0.500 0.000
Te 0.750 0.250 0.500

6.
! SrTlHg PBEsol optimized geometry; values from VASP
! Energy above the most stable polymorph in this dataset: 0.000 eV per atom
&SYSTEM
  ibrav = 0, nat = 3, ntyp = 3
/
ATOMIC_SPECIES
Sr 87.62 Sr.upf
Tl 204.38 Tl.upf
Hg 200.59 Hg.upf
CELL_PARAMETERS angstrom
5.086 0.000 0.000
-2.543 4.405 0.000
0.000 0.000 3.796
ATOMIC_POSITIONS crystal
Sr 0.000 0.000 0.000
Tl 0.333 0.667 0.500
Hg 0.667 0.333 0.500

7.
Material: SrTl2Hg
Method: DFT, PBEsol
State: optimized geometry Values from VASP.

Cell and atoms, written as Quantum ESPRESSO input:
```
&SYSTEM
  ibrav = 0, nat = 4, ntyp = 3
/
ATOMIC_SPECIES
Sr 87.62 Sr.upf
Tl 204.38 Tl.upf
Hg 200.59 Hg.upf
CELL_PARAMETERS angstrom
3.881 0.000 0.000
0.000 3.881 0.000
0.000 0.000 7.489
ATOMIC_POSITIONS crystal
Sr 0.000 0.000 0.000
Tl 0.000 0.000 0.523
Tl 0.500 0.500 0.287
Hg 0.500 0.500 0.748
```

8.
Material: SrTl2Hg
Method: DFT, PBEsol
State: optimized geometry Values from VASP.

Cell and atoms, written as Quantum ESPRESSO input:
```
&SYSTEM
  ibrav = 0, nat = 4, ntyp = 3
/
ATOMIC_SPECIES
Sr 87.62 Sr.upf
Tl 204.38 Tl.upf
Hg 200.59 Hg.upf
CELL_PARAMETERS angstrom
4.749 0.000 0.000
0.000 4.749 0.000
0.000 0.000 4.934
ATOMIC_POSITIONS crystal
Sr 0.000 0.000 0.000
Tl 0.000 0.500 0.500
Tl 0.500 0.000 0.500
Hg 0.500 0.500 0.000
```

9.
Material: SrTlHg4
Method: DFT, PBEsol
State: optimized geometry Values from VASP.

Cell and atoms, written as Quantum ESPRESSO input:
```
&SYSTEM
  ibrav = 0, nat = 6, ntyp = 3
/
ATOMIC_SPECIES
Sr 87.62 Sr.upf
Tl 204.38 Tl.upf
Hg 200.59 Hg.upf
CELL_PARAMETERS angstrom
0.000 4.264 4.264
4.264 0.000 4.264
4.264 4.264 0.000
ATOMIC_POSITIONS crystal
Sr 0.000 0.000 0.000
Tl 0.750 0.750 0.750
Hg 0.375 0.375 0.375
Hg 0.375 0.375 0.874
Hg 0.375 0.874 0.375
Hg 0.874 0.375 0.375
```

10.
! SrTl2Hg2 PBEsol optimized geometry; values from VASP
! Energy above the most stable polymorph in this dataset: 0.094 eV per atom
&SYSTEM
  ibrav = 0, nat = 10, ntyp = 3
/
ATOMIC_SPECIES
Sr 87.62 Sr.upf
Tl 204.38 Tl.upf
Hg 200.59 Hg.upf
CELL_PARAMETERS angstrom
8.371 0.000 0.000
0.000 8.371 0.000
0.000 0.000 4.025
ATOMIC_POSITIONS crystal
Sr 0.000 0.000 0.000
Sr 0.500 0.500 0.000
Tl 0.170 0.330 0.500
Tl 0.330 0.830 0.500
Tl 0.670 0.170 0.500
Tl 0.830 0.670 0.500
Hg 0.128 0.628 0.000
Hg 0.372 0.128 0.000
Hg 0.628 0.872 0.000
Hg 0.872 0.372 0.000

11.
Material: SrTl2Hg
Method: DFT, PBEsol
State: optimized geometry Values from VASP.

Cell and atoms, written as Quantum ESPRESSO input:
```
&SYSTEM
  ibrav = 0, nat = 4, ntyp = 3
/
ATOMIC_SPECIES
Sr 87.62 Sr.upf
Tl 204.38 Tl.upf
Hg 200.59 Hg.upf
CELL_PARAMETERS angstrom
-2.389 2.389 4.955
2.389 -2.389 4.955
2.389 2.389 -4.955
ATOMIC_POSITIONS crystal
Sr 0.000 0.000 0.000
Tl 0.250 0.750 0.500
Tl 0.750 0.250 0.500
Hg 0.500 0.500 0.000
```

12.
Material: SrTl2Hg
Method: DFT, PBEsol
State: optimized geometry Values from VASP.

Cell and atoms, written as Quantum ESPRESSO input:
```
&SYSTEM
  ibrav = 0, nat = 4, ntyp = 3
/
ATOMIC_SPECIES
Sr 87.62 Sr.upf
Tl 204.38 Tl.upf
Hg 200.59 Hg.upf
CELL_PARAMETERS angstrom
3.791 0.000 0.000
0.000 5.009 0.000
-1.178 0.000 6.095
ATOMIC_POSITIONS crystal
Sr 0.000 0.000 0.000
Tl 0.327 0.500 0.726
Tl 0.673 0.500 0.274
Hg 0.500 0.000 0.500
```

Computed E, in the same sequence as the records: -5.332 -2.556 -2.916 -1.629 -3.051 -2.158 -2.222 -2.245 -1.408 -1.882 -2.205 -2.195 eV/atom.